Compound: FeIr6Pt
Source: Alexandria via LeMat-Bulk
Functional: PBE
Structure: optimized geometry

Values from the calculation:
**Energy of formation from the pure elements**: 1.5 kJ/mol of atoms
**Uncorrected energy**: -67.55 eV per cell
**DOS at the Fermi energy**: 1.3092 states/eV/atom
**Total magnetization**: 1.79 μB per cell

Lattice parameters (Å, degrees): 3.865 3.865 7.694 90.00 90.00 90.00
Space group P4/mmm (No. 123)
One atom of each set of equivalent atoms:
Fe 0.000 0.000 0.000 x1
Ir 0.000 0.500 0.242 x4
Ir 0.500 0.500 0.000 x1
Ir 0.500 0.500 0.500 x1
Pt 0.000 0.000 0.500 x1

Compound: FeIrPt2
Source: Alexandria via LeMat-Bulk
Functional: PBE
Structure: optimized geometry

Values from the calculation:
**Energy of formation from the pure elements**: 5.6 kJ/mol of atoms
**Uncorrected energy**: -29.17 eV per cell
**DOS at the Fermi energy**: 1.0123 states/eV/atom
**Energy relative to the lowest polymorph listed for this composition**: 173.3 meV per atom
**Total magnetization**: 3.03 μB per cell

Lattice parameters (Å, degrees): 3.330 3.330 5.383 90.00 90.00 90.00
Space group P4/mmm (No. 123)
One atom of each set of equivalent atoms:
Fe 0.000 0.000 0.000 x1
Ir 0.000 0.000 0.500 x1
Pt 0.500 0.500 0.249 x2

Compound: Fe3IrPt2
Source: Alexandria via LeMat-Bulk
Functional: PBE
Structure: optimized geometry

Values from the calculation:
**Energy of formation from the pure elements**: -15.0 kJ/mol of atoms
**Uncorrected energy**: -47.26 eV per cell
**DOS at the Fermi energy**: 1.0687 states/eV/atom
**Total magnetization**: 9.07 μB per cell

Lattice parameters (Å, degrees): 2.711 2.711 11.244 90.00 90.00 90.00
Space group P4/mmm (No. 123)
One atom of each set of equivalent atoms:
Fe 0.000 0.000 0.000 x1
Fe 0.000 0.000 0.338 x2
Ir 0.500 0.500 0.500 x1
Pt 0.500 0.500 0.169 x2

Compound: FeIrPt4
Source: Alexandria via LeMat-Bulk
Functional: PBE
Structure: optimized geometry

Values from the calculation:
**Energy of formation from the pure elements**: -7.8 kJ/mol of atoms
**Uncorrected energy**: -83.94 eV per cell
**DOS at the Fermi energy**: 1.2004 states/eV/atom
**Energy relative to the lowest polymorph listed for this composition**: 0.0 meV per atom
**Total magnetization**: 8.89 μB per cell

Lattice parameters (Å, degrees): 14.400 2.768 4.811 90.00 109.48 90.00
Space group C2/m (No. 12)
One atom of each set of equivalent atoms:
Fe 0.000 0.000 0.000 x2
Ir 0.000 0.500 0.500 x2
Pt 0.160 0.500 0.321 x4
Pt 0.163 0.000 0.827 x4

Compound: Fe2IrPt
Source: Alexandria via LeMat-Bulk
Functional: PBE
Structure: optimized geometry

Values from the calculation:
**Energy of formation from the pure elements**: -4.3 kJ/mol of atoms
**Uncorrected energy**: -64.01 eV per cell
**DOS at the Fermi energy**: 1.2485 states/eV/atom
**Energy relative to the lowest polymorph listed for this composition**: 67.3 meV per atom
**Total magnetization**: 12.53 μB per cell

Lattice parameters (Å, degrees): 8.839 2.707 4.703 90.00 100.17 90.00
Space group C2/m (No. 12)
One atom of each set of equivalent atoms:
Fe 0.249 0.000 0.245 x4
Ir 0.000 0.500 0.000 x2
Pt 0.000 0.000 0.500 x2

Compound: FeIrPt6
Source: Alexandria via LeMat-Bulk
Functional: PBE
Structure: optimized geometry

Values from the calculation:
**Energy of formation from the pure elements**: -10.5 kJ/mol of atoms
**Uncorrected energy**: -108.87 eV per cell
**DOS at the Fermi energy**: 0.7473 states/eV/atom
**Total magnetization**: 9.48 μB per cell

Lattice parameters (Å, degrees): 3.908 3.908 15.909 90.00 90.00 90.00
Space group I4/mmm (No. 139)
One atom of each set of equivalent atoms:
Fe 0.000 0.000 0.000 x2
Ir 0.000 0.000 0.500 x2
Pt 0.000 0.000 0.253 x4
Pt 0.000 0.500 0.119 x8

Q: Which of these has the lowest total magnetization?
A: FeIr6Pt

Q: Among the records above, which one has the lowest total magnetization?
A: FeIr6Pt

Q: Look up the uncorrected energy of the third one.
A: -47.26 eV per cell